This record from the Alexandria database describes a geometry-optimized Pr12Nd5Hg3 structure. The functional is PBE-GGA.

a = 15.6830 Å, b = 15.6830 Å, c = 15.6830 Å
α = 109.47°, β = 109.47°, γ = 109.47°
Last column: nearest neighbours and their distance in Å.
Positions (direct):
1 Pr 0.3576 0.9373 0.7627  2 Nd 2.95-3.22, 1 Hg 3.17, 1 Pr 3.22
2 Pr 0.0796 0.1745 0.4373  2 Nd 2.95-3.22, 1 Hg 3.17, 1 Pr 3.22
3 Pr 0.4204 0.0627 0.3255  2 Nd 2.95-3.22, 1 Hg 3.17, 1 Pr 3.22
4 Pr 0.8576 0.2627 0.4373  2 Nd 2.95-3.22, 1 Hg 3.17, 1 Pr 3.22
5 Pr 0.4204 0.3576 0.5949  2 Nd 2.95-3.22, 1 Hg 3.17, 1 Pr 3.22
6 Pr 0.4051 0.1424 0.5796  2 Nd 2.95-3.22, 1 Hg 3.17, 1 Pr 3.22
7 Pr 0.7373 0.1424 0.0627  2 Nd 2.95-3.22, 1 Hg 3.17, 1 Pr 3.22
8 Pr 0.6424 0.0627 0.2373  2 Nd 2.95-3.22, 1 Hg 3.17, 1 Pr 3.22
9 Pr 0.8576 0.5949 0.9204  2 Nd 2.95-3.22, 1 Hg 3.17, 1 Pr 3.22
10 Pr 0.3255 0.7627 0.4051  2 Nd 2.95-3.22, 1 Hg 3.17, 1 Pr 3.22
11 Pr 0.0796 0.9051 0.1424  2 Nd 2.95-3.22, 1 Hg 3.17, 1 Pr 3.22
12 Pr 0.1745 0.0796 0.9373  2 Nd 2.95-3.22, 1 Hg 3.17, 1 Pr 3.22
13 Pr 0.2373 0.5627 0.6424  2 Nd 2.95-3.22, 1 Hg 3.17, 1 Pr 3.22
14 Pr 0.5949 0.8576 0.4204  2 Nd 2.95-3.22, 1 Hg 3.17, 1 Pr 3.22
15 Pr 0.9373 0.5796 0.1745  2 Nd 2.95-3.22, 1 Hg 3.17, 1 Pr 3.22
16 Pr 0.9204 0.8255 0.5627  2 Nd 2.95-3.22, 1 Hg 3.17, 1 Pr 3.22
17 Pr 0.2627 0.8576 0.9373  2 Nd 2.95-3.22, 1 Hg 3.17, 1 Pr 3.22
18 Pr 0.8255 0.9051 0.2627  2 Nd 2.95-3.22, 1 Hg 3.17, 1 Pr 3.22
19 Pr 0.8255 0.9204 0.0627  2 Nd 2.95-3.22, 1 Hg 3.17, 1 Pr 3.22
20 Pr 0.0949 0.9204 0.3576  2 Nd 2.95-3.22, 1 Hg 3.17, 1 Pr 3.22
21 Pr 0.1745 0.0949 0.7373  2 Nd 2.95-3.22, 1 Hg 3.17, 1 Pr 3.22
22 Pr 0.9051 0.8255 0.7627  2 Nd 2.95-3.22, 1 Hg 3.17, 1 Pr 3.22
23 Pr 0.0627 0.6424 0.7373  2 Nd 2.95-3.22, 1 Hg 3.17, 1 Pr 3.22
24 Pr 0.0949 0.1745 0.2373  2 Nd 2.95-3.22, 1 Hg 3.17, 1 Pr 3.22
25 Pr 0.5796 0.9373 0.6745  2 Nd 2.95-3.22, 1 Hg 3.17, 1 Pr 3.22
26 Pr 0.3576 0.4204 0.0949  2 Nd 2.95-3.22, 1 Hg 3.17, 1 Pr 3.22
27 Pr 0.5949 0.7373 0.6745  2 Nd 2.95-3.22, 1 Hg 3.17, 1 Pr 3.22
28 Pr 0.2627 0.4051 0.8255  2 Nd 2.95-3.22, 1 Hg 3.17, 1 Pr 3.22
29 Pr 0.5627 0.3255 0.9204  2 Nd 2.95-3.22, 1 Hg 3.17, 1 Pr 3.22
30 Pr 0.7373 0.5949 0.1745  2 Nd 2.95-3.22, 1 Hg 3.17, 1 Pr 3.22
31 Pr 0.0627 0.4204 0.8255  2 Nd 2.95-3.22, 1 Hg 3.17, 1 Pr 3.22
32 Pr 0.6745 0.4373 0.5796  2 Nd 2.95-3.22, 1 Hg 3.17, 1 Pr 3.22
33 Pr 0.1424 0.7373 0.5627  2 Nd 2.95-3.22, 1 Hg 3.17, 1 Pr 3.22
34 Pr 0.6745 0.2373 0.5949  2 Nd 2.95-3.22, 1 Hg 3.17, 1 Pr 3.22
35 Pr 0.4373 0.6745 0.0796  2 Nd 2.95-3.22, 1 Hg 3.17, 1 Pr 3.22
36 Pr 0.2373 0.6745 0.0949  2 Nd 2.95-3.22, 1 Hg 3.17, 1 Pr 3.22
37 Pr 0.7627 0.3255 0.9051  2 Nd 2.95-3.22, 1 Hg 3.17, 1 Pr 3.22
38 Pr 0.4051 0.2627 0.3255  2 Nd 2.95-3.22, 1 Hg 3.17, 1 Pr 3.22
39 Pr 0.6424 0.5796 0.9051  2 Nd 2.95-3.22, 1 Hg 3.17, 1 Pr 3.22
40 Pr 0.5627 0.2373 0.1424  2 Nd 2.95-3.22, 1 Hg 3.17, 1 Pr 3.22
41 Pr 0.1424 0.4051 0.0796  2 Nd 2.95-3.22, 1 Hg 3.17, 1 Pr 3.22
42 Pr 0.9051 0.0796 0.6424  2 Nd 2.95-3.22, 1 Hg 3.17, 1 Pr 3.22
43 Pr 0.3255 0.5627 0.4204  2 Nd 2.95-3.22, 1 Hg 3.17, 1 Pr 3.22
44 Pr 0.9204 0.0949 0.8576  2 Nd 2.95-3.22, 1 Hg 3.17, 1 Pr 3.22
45 Pr 0.4373 0.7627 0.8576  2 Nd 2.95-3.22, 1 Hg 3.17, 1 Pr 3.22
46 Pr 0.7627 0.4373 0.3576  2 Nd 2.95-3.22, 1 Hg 3.17, 1 Pr 3.22
47 Pr 0.5796 0.6424 0.4051  2 Nd 2.95-3.22, 1 Hg 3.17, 1 Pr 3.22
48 Pr 0.9373 0.3576 0.2627  2 Nd 2.95-3.22, 1 Hg 3.17, 1 Pr 3.22
49 Hg 0.6250 0.3750 0.7500  8 Pr 3.17-3.36
50 Hg 0.7500 0.8750 0.6250  8 Pr 3.17-3.36
51 Hg 0.1250 0.2500 0.8750  8 Pr 3.17-3.36
52 Hg 0.6250 0.2500 0.3750  8 Pr 3.17-3.36
53 Hg 0.3750 0.7500 0.6250  8 Pr 3.17-3.36
54 Hg 0.3750 0.6250 0.2500  8 Pr 3.17-3.36
55 Hg 0.8750 0.1250 0.2500  8 Pr 3.17-3.36
56 Hg 0.1250 0.8750 0.7500  8 Pr 3.17-3.36
57 Hg 0.8750 0.7500 0.1250  8 Pr 3.17-3.36
58 Hg 0.2500 0.1250 0.3750  8 Pr 3.17-3.36
59 Hg 0.2500 0.6250 0.8750  8 Pr 3.17-3.36
60 Hg 0.7500 0.3750 0.1250  8 Pr 3.17-3.36
61 Nd 0.0000 0.0000 0.0000  6 Pr 3.22
62 Nd 0.5000 0.5000 0.0000  6 Pr 3.22
63 Nd 0.2500 0.8750 0.1250  4 Pr 2.95
64 Nd 0.8750 0.2500 0.6250  4 Pr 2.95
65 Nd 0.1250 0.3750 0.2500  4 Pr 2.95
66 Nd 0.5000 0.5000 0.5000  6 Pr 3.22
67 Nd 0.7500 0.6250 0.3750  4 Pr 2.95
68 Nd 0.5000 0.0000 0.5000  6 Pr 3.22
69 Nd 0.2500 0.3750 0.6250  4 Pr 2.95
70 Nd 0.5000 0.0000 0.0000  6 Pr 3.22
71 Nd 0.3750 0.1250 0.7500  4 Pr 2.95
72 Nd 0.6250 0.8750 0.2500  4 Pr 2.95
73 Nd 0.1250 0.7500 0.3750  4 Pr 2.95
74 Nd 0.0000 0.5000 0.5000  6 Pr 3.22
75 Nd 0.6250 0.7500 0.8750  4 Pr 2.95
76 Nd 0.8750 0.6250 0.7500  4 Pr 2.95
77 Nd 0.7500 0.1250 0.8750  4 Pr 2.95
78 Nd 0.0000 0.0000 0.5000  6 Pr 3.22
79 Nd 0.3750 0.2500 0.1250  4 Pr 2.95
80 Nd 0.0000 0.5000 0.0000  6 Pr 3.22

Calculated values
Magnetization ... 0.019 μB/cell
D(E_F) ... 1.563 states/eV/atom
Energy relative to the elements ... 12.639 eV/f.u.
Space group ... Ia-3d
ρ ... 6.74 g/cm3